# 1
KSbOs2: relaxed, PBE.

## Properties
Formation energy without anion corrections (eV per atom): 1.34
Crystal system: monoclinic

a = 5.3137 Å, b = 6.0935 Å, c = 2.7314 Å
α = 76.91°, β = 90.30°, γ = 115.93°
Last column: nearest neighbours and their distance in Å.
Sites, in units of the cell vectors:
Os 0.0000 0.0000 0.0000  6 Os 2.73-2.99, 2 K 3.04, 2 Sb 3.04
Os 0.5000 0.0000 0.5000  6 Os 2.73-2.99, 2 Sb 3.04, 2 K 3.04
Sb 0.0000 0.5000 0.5000  2 Sb 2.73, 4 K 2.98-2.99, 4 Os 3.04
K 0.5000 0.5000 0.0000  2 K 2.73, 4 Sb 2.98-2.99, 4 Os 3.04

***

# 2
YGaAg2O4: relaxed, PBE.

## Properties
Formation energy without anion corrections (eV per atom): -1.53
Crystal system: monoclinic

a = 3.2856 Å, b = 5.6276 Å, c = 6.3190 Å
α = 112.97°, β = 90.00°, γ = 90.00°
Last column: nearest neighbours and their distance in Å.
Sites, in units of the cell vectors:
O 0.0000 0.2186 0.8203  1 Ga 1.97
O 0.0000 0.7814 0.1797  1 Ga 1.97
O 0.5000 0.2279 0.1933  2 Ga 2.15, 1 Y 2.30
O 0.5000 0.7721 0.8067  2 Ga 2.15, 1 Y 2.30
Ag 0.0000 0.5000 0.5000  4 O 2.55
Ag 0.5000 0.0000 0.5000  6 O 2.52-2.71
Y 0.5000 0.5000 0.0000  6 O 2.26-2.30
Ga 0.0000 0.0000 0.0000  6 O 1.97-2.15

***

- Which value of formation energy without anion corrections does entry 1 give?
  1.34 eV per atom

***

- Look up the formation energy without anion corrections of the second one.
  -1.53 eV per atom